No. 1
CoAgIr2 PBE-GGA relaxed; electronic total energy = -6.528 eV/atom; DFT formation energy = 0.392 eV/atom; relative energy among the computed polymorphs = 0.196 eV per atom
1.0
2.6921 0.0000 0.0000
0.0000 3.7217 0.0000
0.0000 0.0000 5.8099
Co Ag Ir
1 1 2
direct
0.5000 0.5000 0.7500 Co
0.5000 0.5000 0.2500 Ag
0.0000 0.0000 0.5303 Ir
0.0000 0.0000 0.9697 Ir


No. 2
CoAg2Ir PBE-GGA relaxed; electronic total energy = -5.002 eV/atom; DFT formation energy = 0.415 eV/atom; relative energy among the computed polymorphs = 0.183 eV per atom
1.0
-2.2052 -1.1924 -1.1910
2.8347 -2.4974 -2.7483
2.0789 -5.1670 1.3238
Ag Ir Co
2 1 1
direct
0.5000 0.5000 0.0000 Ag
0.0000 0.0000 0.0000 Ag
0.0000 0.0000 0.5000 Ir
0.5000 0.5000 0.5000 Co


No. 3
CoAgIr2 PBE-GGA relaxed; electronic total energy = -6.299 eV/atom; DFT formation energy = 0.621 eV/atom; relative energy among the computed polymorphs = 0.425 eV per atom
1.0
-1.8682 2.6813 3.1822
-3.1443 -3.1944 0.8457
1.6911 -1.1461 1.9585
Ir Ag Co
2 1 1
direct
0.0000 0.0000 0.0000 Ir
0.5000 0.5000 0.0000 Ir
0.5000 0.0000 0.5000 Ag
0.0000 0.5000 0.5000 Co


No. 4
La8CoAg2Ir PBE-GGA relaxed; electronic total energy = -5.278 eV/atom; DFT formation energy = -0.187 eV/atom
1.0
-4.8236 0.2395 4.1962
-2.2558 -2.7521 -7.1733
1.7651 -7.9165 2.4808
Ag Co La Ir
2 1 8 1
direct
0.5000 0.5000 0.7565 Ag
0.5000 0.5000 0.2435 Ag
0.0000 0.0000 0.0000 Co
0.5616 0.8052 0.0000 La
0.4665 0.2131 0.5000 La
0.0387 0.7709 0.2449 La
0.0388 0.7709 0.7552 La
0.9613 0.2291 0.7551 La
0.4384 0.1948 0.0000 La
0.5335 0.7869 0.5000 La
0.9612 0.2291 0.2448 La
0.0000 0.0000 0.5000 Ir